No. 1
First-principles (PBE) data for LaYHf2Re after structural relaxation, as listed in Alexandria.

Crystal system   tetragonal

Cell lengths 5.227, 5.227, 4.980 Å; angles 90.00, 90.00, 90.00 degrees
Atoms (fractional coordinates):
La  0.000  0.000  0.000
Y  0.500  0.500  0.500
Hf  0.000  0.500  0.500
Hf  0.500  0.000  0.500
Re  0.500  0.500  0.000


No. 2
First-principles (PBE) data for LaHf2Rh2 after structural relaxation, as listed in Alexandria.

Crystal system   tetragonal
Offset from the most stable computed form   0.00 kJ per mole of atoms

Cell lengths 4.518, 4.518, 11.032 Å; angles 90.00, 90.00, 90.00 degrees
Atoms (fractional coordinates):
La  0.000  0.000  0.000
La  0.500  0.500  0.500
Hf  0.000  0.500  0.250
Hf  0.000  0.500  0.750
Hf  0.500  0.000  0.250
Hf  0.500  0.000  0.750
Rh  0.000  0.000  0.378
Rh  0.000  0.000  0.622
Rh  0.500  0.500  0.122
Rh  0.500  0.500  0.878


No. 3
First-principles (PBE) data for LaHf2Rh2 after structural relaxation, as listed in Alexandria.

Crystal system   tetragonal
Offset from the most stable computed form   18.41 kJ per mole of atoms

Cell lengths 8.007, 8.007, 3.250 Å; angles 90.00, 90.00, 90.00 degrees
Atoms (fractional coordinates):
La  0.000  0.000  0.000
La  0.500  0.500  0.000
Hf  0.148  0.352  0.500
Hf  0.352  0.852  0.500
Hf  0.648  0.148  0.500
Hf  0.852  0.648  0.500
Rh  0.134  0.634  0.000
Rh  0.366  0.134  0.000
Rh  0.634  0.866  0.000
Rh  0.866  0.366  0.000


Looking at N(E_F) for the records above, in order, we have 7.0; 7.7; 13.2 states/eV per cell.
Looking at formation enthalpy at 0 K for the records above, in order, we have 704; -337; -244 kJ/mol of formula units.
Looking at total DFT energy (no corrections) for the records above, in order, we have -7.2903; -8.6050; -8.4142 eV per atom.